(1)
Compound: AgH12C4Se5N
Source: OQMD
Functional: PBE
Structure: optimized geometry

Values from the calculation:
Its final energy is -4.729 eV/atom.

a = 11.368 Å, b = 18.607 Å, c = 7.493 Å
α = 90.00°, β = 124.93°, γ = 90.00°
Space group Cc (No. 9)
One atom of each set of equivalent atoms:
Ag1 0.000 0.018 0.000 x4
H1 0.021 0.441 0.186 x4
H2 0.052 0.330 0.377 x4
H3 0.066 0.334 0.066 x4
H4 0.167 0.140 0.474 x4
H5 0.179 0.138 0.244 x4
H6 0.206 0.221 0.387 x4
H7 0.352 0.046 0.652 x4
H8 0.359 0.045 0.419 x4
H9 0.380 0.158 0.835 x4
H10 0.404 0.156 0.295 x4
H11 0.417 0.239 0.747 x4
H12 0.435 0.238 0.444 x4
C1 0.220 0.162 0.403 x4
C2 0.405 0.068 0.580 x4
C3 0.436 0.181 0.770 x4
C4 0.452 0.179 0.457 x4
Se1 0.032 0.180 0.695 x4
Se2 0.145 0.067 0.848 x4
Se3 0.272 0.433 0.703 x4
Se4 0.285 0.347 0.950 x4
Se5 0.321 0.381 0.465 x4
N1 0.378 0.148 0.553 x4

***

(2)
Compound: AgHCO2
Source: OQMD
Functional: PBE
Structure: optimized geometry

Values from the calculation:
Its final energy is -5.703 eV/atom.

a = 7.040 Å, b = 10.379 Å, c = 6.449 Å
α = 90.00°, β = 90.00°, γ = 90.00°
Space group Pccn (No. 56)
One atom of each set of equivalent atoms:
Ag1 0.113 0.110 0.042 x8
H1 0.129 0.657 0.038 x8
C1 0.091 0.623 0.880 x8
O1 0.027 0.192 0.722 x8
O2 0.167 0.520 0.819 x8

***

(3)
Compound: AgH5C7SO5
Source: OQMD
Functional: PBE
Structure: optimized geometry

Values from the calculation:
Its final energy is -6.394 eV/atom.

a = 5.896 Å, b = 8.524 Å, c = 15.304 Å
α = 90.76°, β = 99.29°, γ = 90.98°
Space group P-1 (No. 2)
One atom of each set of equivalent atoms:
Ag1 0.101 0.294 0.460 x2
Ag2 0.349 0.793 0.460 x2
H1 0.014 0.563 0.332 x2
H2 0.027 0.997 0.217 x2
H3 0.062 0.281 0.101 x2
H4 0.079 0.792 0.103 x2
H5 0.211 0.246 0.778 x2
H6 0.224 0.487 0.213 x2
H7 0.306 0.016 0.999 x2
H8 0.312 0.463 0.972 x2
H9 0.346 0.066 0.337 x2
H10 0.450 0.254 0.221 x2
C1 0.034 0.680 0.848 x2
C2 0.057 0.433 0.215 x2
C3 0.062 0.522 0.718 x2
C4 0.192 0.940 0.219 x2
C5 0.221 0.829 0.154 x2
C6 0.255 0.741 0.846 x2
C7 0.280 0.588 0.715 x2
C8 0.363 0.857 0.913 x2
C9 0.372 0.981 0.286 x2
C10 0.377 0.192 0.779 x2
C11 0.381 0.694 0.780 x2
C12 0.414 0.087 0.713 x2
C13 0.438 0.765 0.155 x2
C14 0.468 0.647 0.087 x2
S1 0.190 0.048 0.623 x2
S2 0.420 0.546 0.623 x2
O1 0.041 0.186 0.618 x2
O2 0.073 0.901 0.640 x2
O3 0.218 0.940 0.951 x2
O4 0.233 0.527 0.546 x2
O5 0.296 0.580 0.042 x2
O6 0.304 0.034 0.543 x2
O7 0.318 0.378 0.922 x2
O8 0.423 0.129 0.069 x2
O9 0.437 0.312 0.387 x2
O10 0.447 0.597 0.359 x2

***

(4)
Compound: AgH11C4S3O3
Source: OQMD
Functional: PBE
Structure: optimized geometry

Values from the calculation:
Its final energy is -5.077 eV/atom.

a = 9.492 Å, b = 7.416 Å, c = 16.028 Å
α = 90.00°, β = 124.39°, γ = 90.00°
Space group P2_1/c (No. 14)
One atom of each set of equivalent atoms:
Ag1 0.004 0.184 0.045 x4
H1 0.024 0.747 0.785 x4
H2 0.090 0.044 0.259 x4
H3 0.170 0.242 0.338 x4
H4 0.328 0.742 0.908 x4
H5 0.334 0.152 0.547 x4
H6 0.356 0.642 0.660 x4
H7 0.365 0.027 0.651 x4
H8 0.379 0.648 0.025 x4
H9 0.464 0.666 0.831 x4
H10 0.479 0.014 0.837 x4
H11 0.481 0.188 0.976 x4
C1 0.056 0.167 0.282 x4
C2 0.384 0.525 0.630 x4
C3 0.387 0.731 0.488 x4
C4 0.397 0.152 0.629 x4
S1 0.061 0.606 0.167 x4
S2 0.267 0.548 0.494 x4
S3 0.317 0.168 0.167 x4
O1 0.056 0.512 0.920 x4
O2 0.099 0.724 0.635 x4
O3 0.217 0.515 0.247 x4

***

(5)
Compound: Ag6Hg2C
Source: OQMD
Functional: PBE
Structure: optimized geometry

Values from the calculation:
Its final energy is -2.518 eV/atom.

a = 8.653 Å, b = 8.653 Å, c = 8.653 Å
α = 90.00°, β = 90.00°, γ = 90.00°
Space group Fm-3m (No. 225)
One atom of each set of equivalent atoms:
Ag1 0.000 0.000 0.241 x24
Hg1 0.250 0.250 0.250 x8
C1 0.000 0.000 0.500 x4

***

(6)
Compound: Nb4InAgC2
Source: OQMD
Functional: PBE
Structure: optimized geometry

Values from the calculation:
Its final energy is -8.361 eV/atom.

a = 3.1785 Å, b = 3.1785 Å, c = 14.4131 Å
α = 90.00°, β = 90.00°, γ = 120.00°
Space group P-6m2 (No. 187)
One atom of each set of equivalent atoms:
Nb1 0.0000 0.0000 0.1645 x2
Nb2 0.6667 0.3333 0.3303 x2
In1 0.0000 0.0000 0.5000 x1
Ag1 0.6667 0.3333 0.0000 x1
C1 0.3333 0.6667 0.2460 x2

***

(7)
Compound: Y2AgIrC
Source: OQMD
Functional: PBE
Structure: optimized geometry

Values from the calculation:
Its final energy is -7.303 eV/atom.

a = 5.031 Å, b = 5.031 Å, c = 3.880 Å
α = 90.00°, β = 90.00°, γ = 90.00°
Space group P4/mmm (No. 123)
One atom of each set of equivalent atoms:
Y1 0.000 0.500 0.000 x2
Ag1 0.000 0.000 0.500 x1
Ir1 0.500 0.500 0.500 x1
C1 0.500 0.500 0.000 x1

***

(8)
Compound: KAgCO3
Source: OQMD
Functional: PBE
Structure: optimized geometry

Values from the calculation:
The energy above the most stable polymorph in this dataset is 0.382 eV per formula unit. Its final energy is -5.901 eV/atom.

a = 5.694 Å, b = 5.793 Å, c = 20.257 Å
α = 90.00°, β = 90.00°, γ = 90.00°
Space group Ibca (No. 73)
One atom of each set of equivalent atoms:
K1 0.000 0.250 0.181 x8
Ag1 0.250 0.140 0.000 x8
C1 0.000 0.250 0.375 x8
O1 0.000 0.250 0.311 x8
O2 0.159 0.130 0.407 x16

***

(9)
Compound: KAgCO3
Source: OQMD
Functional: PBE
Structure: optimized geometry

Values from the calculation:
The energy above the most stable polymorph in this dataset is 0.007 eV per formula unit. Its final energy is -5.963 eV/atom.

a = 5.670 Å, b = 10.270 Å, c = 5.853 Å
α = 90.00°, β = 90.00°, γ = 90.00°
Space group Pcca (No. 54)
One atom of each set of equivalent atoms:
K1 0.000 0.137 0.250 x4
Ag1 0.250 0.500 0.132 x4
C1 0.000 0.243 0.750 x4
O1 0.000 0.118 0.750 x4
O2 0.141 0.304 0.610 x8

***

(10)
Compound: KAgCO3
Source: OQMD
Functional: PBE
Structure: optimized geometry

Values from the calculation:
The energy above the most stable polymorph in this dataset is 0.000 eV per formula unit. Its final energy is -5.964 eV/atom.

a = 5.676 Å, b = 5.871 Å, c = 20.539 Å
α = 90.00°, β = 90.00°, γ = 90.00°
Space group Ibca (No. 73)
One atom of each set of equivalent atoms:
K1 0.000 0.250 0.182 x8
Ag1 0.250 0.130 0.000 x8
C1 0.000 0.250 0.372 x8
O1 0.000 0.250 0.309 x8
O2 0.143 0.111 0.902 x16

***

(11)
Compound: La2Ag2C3
Source: OQMD
Functional: PBE
Structure: optimized geometry

Values from the calculation:
Its final energy is -5.528 eV/atom.

a = 12.173 Å, b = 3.805 Å, c = 5.560 Å
α = 90.00°, β = 107.11°, γ = 90.00°
Space group C2/m (No. 12)
One atom of each set of equivalent atoms:
La1 0.112 0.000 0.331 x4
Ag1 0.147 0.500 0.839 x4
C1 0.000 0.500 0.500 x2
C2 0.243 0.500 0.235 x4

***

(12)
Compound: La2AgOsC
Source: OQMD
Functional: PBE
Structure: optimized geometry

Values from the calculation:
Its final energy is -6.893 eV/atom.

a = 5.360 Å, b = 5.360 Å, c = 3.920 Å
α = 90.00°, β = 90.00°, γ = 90.00°
Space group P4/mmm (No. 123)
One atom of each set of equivalent atoms:
La1 0.000 0.500 0.000 x2
Ag1 0.000 0.000 0.500 x1
Os1 0.500 0.500 0.500 x1
C1 0.500 0.500 0.000 x1